First-principles (meta-GGA SCAN) data for a crystal of YSiO2 relaxed with PBEsol, as listed in Alexandria via LeMat-Bulk.

Uncorrected formation energy in eV per atom: -1.37
Total moment in μB per cell: 0.004
V in Å³ per cell: 51.00
Calculated density in g/cm³: 4.851
Crystal system: trigonal

Cell: 6.9672 6.9672 6.9672 Å, 24.47 24.47 24.47°
Element x y z (fractional)
Y1 0.0000 0.0000 0.0000
Si1 0.5000 0.5000 0.5000
O1 0.1239 0.1239 0.1239
O2 0.8761 0.8761 0.8761